Compound: CsCuTcS3
Source: OQMD
Functional: GGA-PBE
Structure: optimized geometry

a b c (Å): 3.662 15.576 9.482
angles (deg): 90.00 90.00 90.00
Space group Cmcm (No. 63)
Asymmetric unit:
Cs  0.000  0.248  0.250 x4
Cu  0.000  0.033  0.750 x4
Tc  0.000  0.500  0.000 x4
S  0.000  0.104  0.543 x8
S  0.000  0.443  0.750 x4

Output
The calculation puts the volume at 22.54 Å³ per atom. The calculation puts the total energy at -121.627 eV/cell. The value obtained for the mass density is 4.80 g cm⁻³.

---

Compound: Cs2Cu2TeS
Source: OQMD
Functional: GGA-PBE
Structure: optimized geometry

a b c (Å): 7.013 5.679 12.625
angles (deg): 90.00 91.62 90.00
Space group P2_1/m (No. 11)
Asymmetric unit:
Cs  0.025  0.250  0.325 x2
Cs  0.463  0.750  0.136 x2
Cu  0.000  0.000  0.000 x2
Cu  0.500  0.000  0.500 x2
Te  0.281  0.250  0.600 x2
S  0.203  0.250  0.066 x2

Output
The calculation puts the volume at 41.89 Å³ per atom. The calculation puts the total energy at -40.725 eV/cell. The value obtained for the mass density is 3.65 g cm⁻³.

---

Compound: CsTm2CuTeS3
Source: OQMD
Functional: GGA-PBE
Structure: optimized geometry

a b c (Å): 4.084 14.280 14.269
angles (deg): 90.00 90.00 90.00
Space group Cmcm (No. 63)
Asymmetric unit:
Cs  0.000  0.130  0.250 x4
Tm  0.000  0.367  0.050 x8
Cu  0.000  0.174  0.750 x4
Te  0.000  0.433  0.250 x4
S  0.000  0.000  0.000 x4
S  0.000  0.248  0.600 x8

Output
The calculation puts the volume at 26.00 Å³ per atom. The calculation puts the total energy at -162.400 eV/cell. The value obtained for the mass density is 6.05 g cm⁻³.

---

Compound: CsTm2CuTeS3
Source: OQMD
Functional: GGA-PBE
Structure: optimized geometry

a b c (Å): 4.106 14.542 13.970
angles (deg): 90.00 90.00 90.00
Space group Cmcm (No. 63)
Asymmetric unit:
Cs  0.000  0.098  0.250 x4
Tm  0.000  0.351  0.068 x8
Cu  0.000  0.174  0.750 x4
Te  0.000  0.000  0.000 x4
S  0.000  0.260  0.606 x8
S  0.000  0.407  0.250 x4

Output
The calculation puts the volume at 26.07 Å³ per atom. The calculation puts the total energy at -164.905 eV/cell. The value obtained for the mass density is 6.04 g cm⁻³.

---

Compound: CsTm2Cu3Te4S
Source: OQMD
Functional: GGA-PBE
Structure: optimized geometry

a b c (Å): 4.272 15.581 17.738
angles (deg): 90.00 90.00 90.00
Space group Cmcm (No. 63)
Asymmetric unit:
Cs  0.000  0.073  0.250 x4
Tm  0.000  0.195  0.602 x8
Cu  0.000  0.334  0.250 x4
Cu  0.000  0.419  0.525 x8
Te  0.000  0.167  0.068 x8
Te  0.000  0.441  0.121 x8
S  0.000  0.232  0.750 x4

Output
The calculation puts the volume at 26.83 Å³ per atom. The calculation puts the total energy at -189.888 eV/cell. The value obtained for the mass density is 6.77 g cm⁻³.

---

Compound: CsTm2Cu3TeS4
Source: OQMD
Functional: GGA-PBE
Structure: optimized geometry

a b c (Å): 4.023 14.119 17.208
angles (deg): 90.00 90.00 90.00
Space group Cmcm (No. 63)
Asymmetric unit:
Cs  0.000  0.049  0.250 x4
Tm  0.000  0.188  0.584 x8
Cu  0.000  0.357  0.250 x4
Cu  0.000  0.416  0.537 x8
Te  0.000  0.245  0.750 x4
S  0.000  0.171  0.069 x8
S  0.000  0.436  0.104 x8

Output
The calculation puts the volume at 22.21 Å³ per atom. The calculation puts the total energy at -211.022 eV/cell. The value obtained for the mass density is 6.23 g cm⁻³.